PmSi3Pt5 after structural relaxation. Source: Alexandria via LeMat-Bulk, functional PBE.

The total DFT energy (no corrections) comes out at -235.95 eV for the cell shown. Its crystal system is orthorhombic. The calculation puts the density at 12.73 g/cm3.

It has space group Cmcm (No. 63), with a = 3.908 Å, b = 12.510 Å, c = 12.853 Å, α = 90.00°, β = 90.00° and γ = 90.00°. The inequivalent atoms are Pm at (0.000, 0.156, 0.250), Si at (0.000, 0.114, 0.750), Si at (0.000, 0.384, 0.538), Pt at (0.000, 0.000, 0.000), Pt at (0.000, 0.209, 0.584) and Pt at (0.000, 0.455, 0.147).

La2ScCdOs after structural relaxation. Source: Alexandria via LeMat-Bulk, functional PBE.

The energy above the most stable polymorph in this dataset comes out at 0.0 meV per atom. The calculation puts the formation enthalpy at 0 K at -0.11 eV per atom. The total DFT energy (no corrections) comes out at -28.87 eV for the cell shown. Its crystal system is tetragonal. The calculation puts the density at 6.50 g/cm3.

It has space group P4/mmm (No. 123), with a = 5.601 Å, b = 5.601 Å, c = 5.093 Å, α = 90.00°, β = 90.00° and γ = 90.00°. The inequivalent atoms are La at (0.000, 0.500, 0.000), Sc at (0.000, 0.000, 0.500), Cd at (0.500, 0.500, 0.500) and Os at (0.000, 0.000, 0.000).

Pr2Np2Ni15 after structural relaxation. Source: Alexandria via LeMat-Bulk, functional PBE.

The calculation puts the formation enthalpy at 0 K at -0.18 eV per atom. The total DFT energy (no corrections) comes out at -376.70 eV for the cell shown. Its crystal system is trigonal. The calculation puts the density at 10.23 g/cm3.

It has space group R-3m (No. 166, hexagonal axes), with a = 8.5217 Å, b = 8.5217 Å, c = 12.6705 Å, α = 90.00°, β = 90.00° and γ = 120.00°. The inequivalent atoms are Pr at (0.0000, 0.0000, 0.1465), Np at (0.0000, 0.0000, 0.4097), Ni at (0.0000, 0.3102, 0.5000), Ni at (0.0000, 0.5000, 0.0000) and Ni at (0.0017, 0.5008, 0.3414).

Na2SrPr after structural relaxation. Source: Alexandria via LeMat-Bulk, functional PBE.

The energy above the most stable polymorph in this dataset comes out at 37.1 meV per atom. The calculation puts the formation enthalpy at 0 K at 0.27 eV per atom. The total DFT energy (no corrections) comes out at -24.01 eV for the cell shown. Its crystal system is trigonal. The calculation puts the density at 2.73 g/cm3.

It has space group R-3m (No. 166, hexagonal axes), with a = 3.7422 Å, b = 3.7422 Å, c = 41.3394 Å, α = 90.00°, β = 90.00° and γ = 120.00°. The inequivalent atoms are Na at (0.0000, 0.0000, 0.0853), Sr at (0.0000, 0.0000, 0.5000) and Pr at (0.0000, 0.0000, 0.0000).

TaGaGe after structural relaxation. Source: Alexandria via LeMat-Bulk, functional PBE.

The energy above the most stable polymorph in this dataset comes out at 319.2 meV per atom. The calculation puts the formation enthalpy at 0 K at 0.14 eV per atom. The total DFT energy (no corrections) comes out at -19.06 eV for the cell shown. Its crystal system is trigonal. The calculation puts the density at 10.67 g/cm3.

It has space group P3m1 (No. 156), with a = 4.6141 Å, b = 4.6141 Å, c = 2.7281 Å, α = 90.00°, β = 90.00° and γ = 120.00°. The inequivalent atoms are Ta at (0.0000, 0.0000, 0.0000), Ga at (0.6667, 0.3333, 0.5005) and Ge at (0.3333, 0.6667, 0.5031).

LaPm3Nd8 after structural relaxation. Source: Alexandria via LeMat-Bulk, functional PBE.

The calculation puts the formation enthalpy at 0 K at 0.01 eV per atom. The total DFT energy (no corrections) comes out at -57.17 eV for the cell shown. Its crystal system is triclinic. The calculation puts the density at 6.76 g/cm3.

It has space group P-1 (No. 2), with a = 6.370 Å, b = 6.393 Å, c = 11.042 Å, α = 73.25°, β = 89.98° and γ = 80.59°. The inequivalent atoms are La at (0.000, 0.000, 0.000), Pm at (0.250, 0.498, 0.251), Pm at (0.500, 0.000, 0.500), Nd at (0.000, 0.001, 0.666), Nd at (0.250, 0.500, 0.917), Nd at (0.251, 0.500, 0.583) and Nd at (0.500, 0.001, 0.832).

FeHgBiPt after structural relaxation. Source: Alexandria via LeMat-Bulk, functional PBE.

The energy above the most stable polymorph in this dataset comes out at 58.2 meV per atom. The calculation puts the formation enthalpy at 0 K at 0.17 eV per atom. The total DFT energy (no corrections) comes out at -18.01 eV for the cell shown. Its crystal system is monoclinic. The calculation puts the density at 13.35 g/cm3.

It has space group Pm (No. 6), with a = 3.780 Å, b = 4.289 Å, c = 5.402 Å, α = 90.00°, β = 110.24° and γ = 90.00°. The inequivalent atoms are Fe at (0.000, 0.000, 0.000), Hg at (0.582, 0.500, 0.164), Bi at (0.280, 0.000, 0.558) and Pt at (0.866, 0.500, 0.731).

BeTcRuCCl after structural relaxation. Source: Alexandria via LeMat-Bulk, functional PBE.

The energy above the most stable polymorph in this dataset comes out at 10.4 meV per atom. The total DFT energy (no corrections) comes out at -67.72 eV for the cell shown. Its crystal system is monoclinic. The calculation puts the density at 6.41 g/cm3.

It has space group Cm (No. 8), with a = 5.537 Å, b = 3.061 Å, c = 7.841 Å, α = 90.00°, β = 94.86° and γ = 90.00°. The inequivalent atoms are Be at (0.000, 0.000, 0.000), Tc at (0.081, 0.500, 0.507), Ru at (0.270, 0.000, 0.770), C at (0.424, 0.500, 0.638) and Cl at (0.050, 0.500, 0.196).